DFT (GGA-PBEsol) results for a relaxed structure of TaFe.

```
2
Lattice="1.6267 -2.1802 0.0000 1.6267 2.1802 0.0000 0.0000 0.0000 3.9725" Properties=species:S:1:pos:R:3 pbc="T T T"
Ta 0.0000 0.0000 0.0000
Fe 1.6267 0.0000 1.9863
```

## Properties
Its crystal system is orthorhombic. For the energy of formation from the pure elements, the calculation gives 0.04 eV per atom. As for the space group: Cmmm (65). The magnetic moment comes out at 0.688 μB/atom.